The following is a PBE-GGA calculation of a relaxed structure of AcNdSmTl, from Alexandria via LeMat-Bulk. Values from VASP.

Output
electronic total energy: -4.017 eV/atom
energy above the most stable polymorph in this dataset: 0.00 kJ/mol of atoms
DFT formation energy: -26.3 meV per atom
crystal system: monoclinic
mass density: 8.98 g/cm³
Fermi-level density of states: 1.2820 states/eV per atom

The structure in Quantum ESPRESSO input format:
```
&SYSTEM
  ibrav = 0, nat = 4, ntyp = 4
/
ATOMIC_SPECIES
Ac 227.00 Ac.upf
Nd 144.24 Nd.upf
Sm 150.36 Sm.upf
Tl 204.38 Tl.upf
CELL_PARAMETERS angstrom
4.736 -3.035 0.000
4.736 3.035 0.000
-3.879 0.000 4.668
ATOMIC_POSITIONS angstrom
Ac 0.000 0.000 0.000
Nd 6.132 0.000 1.170
Sm -0.539 0.000 3.499
Tl 2.796 0.000 2.335
```